Record 1
# PBE Ac4Sm2Dy, optimized geometry
# DOS at the Fermi energy, states/eV per cell: 25.24
# E, eV per atom: -4.100
# Calculated volume, A^3/atom: 41.27
# Symmetry: Fdd2
data_Ac4Sm2Dy
_chemical_formula_sum 'Ac8 Sm4 Dy2'
_cell_length_a 7.655
_cell_length_b 7.655
_cell_length_c 12.103
_cell_angle_alpha 114.58
_cell_angle_beta 114.58
_cell_angle_gamma 71.62
_symmetry_space_group_name_H-M 'P 1'
_symmetry_Int_Tables_number 1
loop_
_symmetry_equiv_pos_as_xyz
'x,y,z'
loop_
_atom_site_label
_atom_site_type_symbol
_atom_site_fract_x
_atom_site_fract_y
_atom_site_fract_z
_atom_site_occupancy
Ac1 Ac 0.520 0.793 0.827 1
Ac2 Ac 0.043 0.270 0.327 1
Ac3 Ac 0.053 0.291 0.837 1
Ac4 Ac 0.541 0.803 0.337 1
Ac5 Ac 0.467 0.205 0.663 1
Ac6 Ac 0.966 0.692 0.173 1
Ac7 Ac 0.942 0.716 0.673 1
Ac8 Ac 0.455 0.217 0.163 1
Sm1 Sm 0.403 0.574 0.479 1
Sm2 Sm 0.094 0.924 0.521 1
Sm3 Sm 0.174 0.844 0.021 1
Sm4 Sm 0.824 0.153 0.979 1
Dy1 Dy 0.752 0.252 0.500 1
Dy2 Dy 0.502 0.502 0.000 1



Record 2
# PBE AcSm4Dy2, optimized geometry
# Energy above the most stable polymorph in this dataset, meV per atom: 200
# DOS at the Fermi energy, states/eV per cell: 12.60
# E, eV per atom: -4.357
# Calculated volume, A^3/atom: 35.53
# Symmetry: C2/m
data_AcSm4Dy2
_chemical_formula_sum 'Ac1 Sm4 Dy2'
_cell_length_a 6.907
_cell_length_b 6.907
_cell_length_c 12.854
_cell_angle_alpha 140.34
_cell_angle_beta 140.34
_cell_angle_gamma 56.25
_symmetry_space_group_name_H-M 'P 1'
_symmetry_Int_Tables_number 1
loop_
_symmetry_equiv_pos_as_xyz
'x,y,z'
loop_
_atom_site_label
_atom_site_type_symbol
_atom_site_fract_x
_atom_site_fract_y
_atom_site_fract_z
_atom_site_occupancy
Ac1 Ac 0.000 0.000 0.000 1
Sm1 Sm 0.346 0.346 0.508 1
Sm2 Sm 0.654 0.654 0.492 1
Sm3 Sm 0.000 0.500 0.000 1
Sm4 Sm 0.500 0.000 0.000 1
Dy1 Dy 0.276 0.276 0.734 1
Dy2 Dy 0.724 0.724 0.266 1



Record 3
# PBE Ac4SmDy2, optimized geometry
# DOS at the Fermi energy, states/eV per cell: 21.72
# E, eV per atom: -4.241
# Calculated volume, A^3/atom: 39.34
# Symmetry: Cc
data_Ac4SmDy2
_chemical_formula_sum 'Ac8 Sm2 Dy4'
_cell_length_a 7.200
_cell_length_b 7.200
_cell_length_c 13.224
_cell_angle_alpha 97.05
_cell_angle_beta 97.05
_cell_angle_gamma 123.68
_symmetry_space_group_name_H-M 'P 1'
_symmetry_Int_Tables_number 1
loop_
_symmetry_equiv_pos_as_xyz
'x,y,z'
loop_
_atom_site_label
_atom_site_type_symbol
_atom_site_fract_x
_atom_site_fract_y
_atom_site_fract_z
_atom_site_occupancy
Ac1 Ac 0.514 0.294 0.712 1
Ac2 Ac 0.294 0.514 0.212 1
Ac3 Ac 0.161 0.824 0.859 1
Ac4 Ac 0.824 0.161 0.359 1
Ac5 Ac 0.024 0.349 0.639 1
Ac6 Ac 0.886 0.672 0.290 1
Ac7 Ac 0.672 0.886 0.790 1
Ac8 Ac 0.349 0.024 0.139 1
Sm1 Sm 0.402 0.781 0.501 1
Sm2 Sm 0.781 0.402 0.001 1
Dy1 Dy 0.391 0.258 0.433 1
Dy2 Dy 0.784 0.922 0.068 1
Dy3 Dy 0.922 0.784 0.568 1
Dy4 Dy 0.258 0.391 0.933 1



Record 4
# PBE Ac2SmDy3, optimized geometry
# DOS at the Fermi energy, states/eV per cell: 16.57
# E, eV per atom: -4.317
# Calculated volume, A^3/atom: 37.40
# Symmetry: C2/c
data_Ac2SmDy3
_chemical_formula_sum 'Ac4 Sm2 Dy6'
_cell_length_a 7.571
_cell_length_b 8.971
_cell_length_c 7.489
_cell_angle_alpha 102.05
_cell_angle_beta 90.00
_cell_angle_gamma 114.96
_symmetry_space_group_name_H-M 'P 1'
_symmetry_Int_Tables_number 1
loop_
_symmetry_equiv_pos_as_xyz
'x,y,z'
loop_
_atom_site_label
_atom_site_type_symbol
_atom_site_fract_x
_atom_site_fract_y
_atom_site_fract_z
_atom_site_occupancy
Ac1 Ac 0.314 0.633 0.408 1
Ac2 Ac 0.320 0.633 0.908 1
Ac3 Ac 0.680 0.367 0.092 1
Ac4 Ac 0.686 0.367 0.592 1
Sm1 Sm 0.710 0.000 0.250 1
Sm2 Sm 0.290 0.000 0.750 1
Dy1 Dy 0.713 0.000 0.750 1
Dy2 Dy 0.287 0.000 0.250 1
Dy3 Dy 0.886 0.770 0.943 1
Dy4 Dy 0.116 0.230 0.557 1
Dy5 Dy 0.884 0.770 0.443 1
Dy6 Dy 0.114 0.230 0.057 1



Record 5
# PBE Ac2Sm2Dy15, optimized geometry
# DOS at the Fermi energy, states/eV per cell: 33.99
# E, eV per atom: -4.279
# Calculated volume, A^3/atom: 34.44
# Symmetry: R-3m
data_Ac2Sm2Dy15
_chemical_formula_sum 'Ac2 Sm2 Dy15'
_cell_length_a 8.790
_cell_length_b 8.790
_cell_length_c 8.790
_cell_angle_alpha 80.57
_cell_angle_beta 80.57
_cell_angle_gamma 80.57
_symmetry_space_group_name_H-M 'P 1'
_symmetry_Int_Tables_number 1
loop_
_symmetry_equiv_pos_as_xyz
'x,y,z'
loop_
_atom_site_label
_atom_site_type_symbol
_atom_site_fract_x
_atom_site_fract_y
_atom_site_fract_z
_atom_site_occupancy
Ac1 Ac 0.115 0.115 0.115 1
Ac2 Ac 0.885 0.885 0.885 1
Sm1 Sm 0.334 0.334 0.334 1
Sm2 Sm 0.666 0.666 0.666 1
Dy1 Dy 0.000 0.000 0.500 1
Dy2 Dy 0.500 0.000 0.000 1
Dy3 Dy 0.000 0.500 0.000 1
Dy4 Dy 0.307 0.693 0.000 1
Dy5 Dy 0.000 0.307 0.693 1
Dy6 Dy 0.693 0.000 0.307 1
Dy7 Dy 0.000 0.693 0.307 1
Dy8 Dy 0.307 0.000 0.693 1
Dy9 Dy 0.693 0.307 0.000 1
Dy10 Dy 0.631 0.631 0.156 1
Dy11 Dy 0.156 0.631 0.631 1
Dy12 Dy 0.631 0.156 0.631 1
Dy13 Dy 0.369 0.369 0.844 1
Dy14 Dy 0.844 0.369 0.369 1
Dy15 Dy 0.369 0.844 0.369 1



Record 6
# PBE AcSm7Dy12, optimized geometry
# DOS at the Fermi energy, states/eV per cell: 26.57
# E, eV per atom: -3.993
# Calculated volume, A^3/atom: 36.57
# Symmetry: Im-3
data_AcSm7Dy12
_chemical_formula_sum 'Ac1 Sm7 Dy12'
_cell_length_a 9.831
_cell_length_b 9.831
_cell_length_c 9.831
_cell_angle_alpha 109.47
_cell_angle_beta 109.47
_cell_angle_gamma 109.47
_symmetry_space_group_name_H-M 'P 1'
_symmetry_Int_Tables_number 1
loop_
_symmetry_equiv_pos_as_xyz
'x,y,z'
loop_
_atom_site_label
_atom_site_type_symbol
_atom_site_fract_x
_atom_site_fract_y
_atom_site_fract_z
_atom_site_occupancy
Ac1 Ac 0.000 0.000 0.000 1
Sm1 Sm 0.500 0.500 0.000 1
Sm2 Sm 0.000 0.500 0.500 1
Sm3 Sm 0.500 0.000 0.500 1
Sm4 Sm 0.500 0.500 0.500 1
Sm5 Sm 0.000 0.000 0.500 1
Sm6 Sm 0.500 0.000 0.000 1
Sm7 Sm 0.000 0.500 0.000 1
Dy1 Dy 0.488 0.744 0.744 1
Dy2 Dy 0.001 0.744 0.256 1
Dy3 Dy 0.512 0.256 0.256 1
Dy4 Dy 0.999 0.256 0.744 1
Dy5 Dy 0.744 0.999 0.256 1
Dy6 Dy 0.744 0.488 0.744 1
Dy7 Dy 0.256 0.001 0.744 1
Dy8 Dy 0.256 0.512 0.256 1
Dy9 Dy 0.744 0.744 0.488 1
Dy10 Dy 0.256 0.256 0.512 1
Dy11 Dy 0.744 0.256 0.001 1
Dy12 Dy 0.256 0.744 0.999 1



Record 7
# PBE AcSm8Dy3, optimized geometry
# DOS at the Fermi energy, states/eV per cell: 16.90
# E, eV per atom: -4.303
# Calculated volume, A^3/atom: 36.87
# Symmetry: Immm
data_AcSm8Dy3
_chemical_formula_sum 'Ac1 Sm8 Dy3'
_cell_length_a 8.868
_cell_length_b 8.868
_cell_length_c 8.868
_cell_angle_alpha 97.77
_cell_angle_beta 97.67
_cell_angle_gamma 137.00
_symmetry_space_group_name_H-M 'P 1'
_symmetry_Int_Tables_number 1
loop_
_symmetry_equiv_pos_as_xyz
'x,y,z'
loop_
_atom_site_label
_atom_site_type_symbol
_atom_site_fract_x
_atom_site_fract_y
_atom_site_fract_z
_atom_site_occupancy
Ac1 Ac 0.000 0.000 0.000 1
Sm1 Sm 0.507 0.236 0.271 1
Sm2 Sm 0.493 0.764 0.729 1
Sm3 Sm 0.035 0.764 0.271 1
Sm4 Sm 0.965 0.236 0.729 1
Sm5 Sm 0.172 0.254 0.426 1
Sm6 Sm 0.828 0.254 0.081 1
Sm7 Sm 0.172 0.746 0.919 1
Sm8 Sm 0.828 0.746 0.574 1
Dy1 Dy 0.500 0.775 0.275 1
Dy2 Dy 0.500 0.225 0.725 1
Dy3 Dy 0.000 0.500 0.500 1



Record 8
# PBE AcSm2Dy4, optimized geometry
# Energy above the most stable polymorph in this dataset, meV per atom: 161
# DOS at the Fermi energy, states/eV per cell: 13.13
# E, eV per atom: -4.365
# Calculated volume, A^3/atom: 35.08
# Symmetry: I4/mmm
data_AcSm2Dy4
_chemical_formula_sum 'Ac1 Sm2 Dy4'
_cell_length_a 6.937
_cell_length_b 6.937
_cell_length_c 6.937
_cell_angle_alpha 123.30
_cell_angle_beta 103.03
_cell_angle_gamma 103.03
_symmetry_space_group_name_H-M 'P 1'
_symmetry_Int_Tables_number 1
loop_
_symmetry_equiv_pos_as_xyz
'x,y,z'
loop_
_atom_site_label
_atom_site_type_symbol
_atom_site_fract_x
_atom_site_fract_y
_atom_site_fract_z
_atom_site_occupancy
Ac1 Ac 0.000 0.000 0.000 1
Sm1 Sm 0.500 0.250 0.750 1
Sm2 Sm 0.500 0.750 0.250 1
Dy1 Dy 0.000 0.304 0.696 1
Dy2 Dy 0.000 0.696 0.304 1
Dy3 Dy 0.608 0.304 0.304 1
Dy4 Dy 0.392 0.696 0.696 1